A geometry-optimized Al3Re structure, computed with PBE.

Geometry as POSCAR:
```
Al3Re
1.0
3.336 0.000 0.000
0.000 3.336 0.000
0.000 0.000 5.387
Al Re
3 1
Cartesian
0.000 0.000 0.000 Al
1.668 1.668 1.412 Al
1.668 1.668 3.975 Al
0.000 0.000 2.693 Re
```

Calculated values
symmetry = P4/mmm, No. 123
energy of formation from the pure elements = -0.233 eV per atom
V = 14.99 Å³ per atom
M_tot = 0.00 μB/f.u.